The following is a PBE calculation of an optimized crystal structure of Mg2ZrSe, from the Alexandria database.

a b c (Å): 3.433 3.433 7.150
angles (deg): 90.00 90.00 90.00
Space group P4/mmm (No. 123)
Inequivalent atoms, fractional coordinates:
Mg1 0.000 0.000 0.218 (multiplicity 2)
Zr1 0.500 0.500 0.500 (multiplicity 1)
Se1 0.500 0.500 0.000 (multiplicity 1)

Summary:
**Fermi-level density of states**: 2.56 states/eV per cell
**Calculated total energy**: -16.44 eV per cell
**Crystal system**: tetragonal
**ΔE_f (raw)**: -0.31 eV/atom


The following is a PBE calculation of an optimized crystal structure of CoBi2Se2, from the Alexandria database.

a b c (Å): 6.429 6.429 6.024
angles (deg): 90.00 90.00 90.00
Space group P4/mbm (No. 127)
Inequivalent atoms, fractional coordinates:
Co1 0.000 0.000 0.000 (multiplicity 2)
Bi1 0.194 0.306 0.500 (multiplicity 4)
Se1 0.168 0.332 0.000 (multiplicity 4)

Summary:
**Fermi-level density of states**: 11.91 states/eV per cell
**Calculated total energy**: -42.93 eV per cell
**Crystal system**: tetragonal
**ΔE_f (raw)**: 0.07 eV/atom


The following is a PBE calculation of an optimized crystal structure of TaMnP2, from the Alexandria database.

a b c (Å): 2.9679 2.9679 22.1517
angles (deg): 90.00 90.00 120.00
Space group R3m (No. 160, hexagonal axes)
Inequivalent atoms, fractional coordinates:
Ta1 0.0000 0.0000 0.0000 (multiplicity 3)
Mn1 0.0000 0.0000 0.2375 (multiplicity 3)
P1 0.0000 0.0000 0.5036 (multiplicity 3)
P2 0.0000 0.0000 0.7528 (multiplicity 3)

Summary:
**Energy relative to the lowest polymorph listed for this composition**: 550 meV/atom
**Fermi-level density of states**: 5.93 states/eV per cell
**Calculated total energy**: -96.32 eV per cell
**Crystal system**: trigonal
**E_form**: -66 meV/atom


The following is a PBE calculation of an optimized crystal structure of ErIn3Pd2, from the Alexandria database.

a b c (Å): 3.824 9.448 14.495
angles (deg): 90.00 90.00 90.00
Space group Immm (No. 71)
Inequivalent atoms, fractional coordinates:
Er1 0.000 0.000 0.125 (multiplicity 4)
In1 0.000 0.208 0.328 (multiplicity 8)
In2 0.000 0.352 0.000 (multiplicity 4)
Pd1 0.000 0.353 0.500 (multiplicity 4)
Pd2 0.000 0.500 0.214 (multiplicity 4)

Summary:
**Fermi-level density of states**: 9.54 states/eV per cell
**Calculated total energy**: -106.33 eV per cell
**Crystal system**: orthorhombic
**E_form**: -570 meV/atom